Here is crystalline ErCuPt3 at its relaxed geometry from Alexandria via LeMat-Bulk. Energies are from PBE-GGA.

Cell and atoms, written as POSCAR:
```
ErCuPt3
1.0
6.358 0.000 0.000
-3.179 5.506 0.000
0.000 0.000 5.122
Er Cu Pt
2 2 6
Direct
0.333 0.667 0.250 Er
0.667 0.333 0.750 Er
0.000 0.000 0.000 Cu
0.000 0.000 0.500 Cu
0.194 0.388 0.750 Pt
0.194 0.806 0.750 Pt
0.388 0.194 0.250 Pt
0.612 0.806 0.750 Pt
0.806 0.194 0.250 Pt
0.806 0.612 0.250 Pt
```

Computed properties:
N(E_F): 0.263 states/eV per atom
excess energy over the best structure of this formula in the dataset: 0.020 eV per formula unit
total magnetization: 0.0 μB per cell
calculated formation energy: -0.587 eV per atom
SG: P6_3/mmc (194)
calculated volume: 17.9 A^3/atom